No. 1
Compound: EuTm2Al
Source: Alexandria via LeMat-Bulk
Functional: PBE
Structure: relaxed

## Properties
E_tot: -5.84 eV/atom
Space group: No. 123
Offset from the most stable computed form: 56 meV per atom
Magnetic moment: 7.58 μB/f.u.
Energy relative to the elements: -0.0961 eV/atom

a b c (Å): 4.6931 4.8306 4.8306
angles (deg): 90.00 90.00 90.00
Closest atoms and distances in Å follow each position.
Atoms (fractional coordinates):
1 Tm 0.0000 0.5000 0.0000  4 Al 3.37, 4 Eu 3.37, 4 Tm 3.42
2 Tm 0.0000 0.0000 0.5000  4 Al 3.37, 4 Eu 3.37, 4 Tm 3.42
3 Al 0.5000 0.5000 0.5000  8 Tm 3.37, 4 Eu 3.42
4 Eu 0.5000 0.0000 0.0000  8 Tm 3.37, 4 Al 3.42

---

No. 2
Compound: EuTm2Al
Source: Alexandria via LeMat-Bulk
Functional: PBE
Structure: relaxed

## Properties
E_tot: -5.89 eV/atom
Space group: No. 123
Offset from the most stable computed form: 0 meV per atom
Magnetic moment: 7.31 μB/f.u.
Energy relative to the elements: -0.1526 eV/atom

a b c (Å): 3.5249 3.5249 9.2519
angles (deg): 90.00 90.00 90.00
Closest atoms and distances in Å follow each position.
Atoms (fractional coordinates):
1 Eu 0.5000 0.5000 0.5000  4 Eu 3.52, 8 Tm 3.75
2 Tm 0.0000 0.0000 0.1972  4 Al 3.09
3 Tm 0.0000 0.0000 0.8028  4 Al 3.09
4 Al 0.5000 0.5000 0.0000  8 Tm 3.09

---

- Look up the E_tot of the second one.
  -5.89 eV/atom